Here is a relaxed structure of Li2Co4OF8 from Alexandria. Energies are from GGA+U.

* DOS at the Fermi energy: 0.000 states/eV per atom
* uncorrected energy: -5.0670 eV/atom
* total magnetization: 0.80 μB/atom

Cell lengths 6.9294, 7.8886, 8.2084 Å; angles 67.27, 65.81, 75.65 degrees
With the nearest neighbours (Å) after each atom.
Fractional positions:
Li  0.2597  0.2308  0.6174  4 F 1.86-1.91
Li  0.3846  0.7386  0.0742  4 F 1.90-2.02
Li  0.6154  0.2614  0.9258  4 F 1.90-2.02
Li  0.7403  0.7692  0.3826  4 F 1.86-1.91
Co  0.6872  0.4394  0.2549  5 F 2.06-2.22, 1 O 2.08
Co  0.2263  0.9029  0.4446  1 O 1.93, 3 F 1.95-1.97
Co  0.9617  0.8619  0.9221  1 O 1.98, 5 F 2.04-2.19
Co  0.8457  0.6091  0.7662  5 F 2.02-2.25, 1 O 2.04
Co  0.1543  0.3909  0.2338  5 F 2.02-2.25, 1 O 2.04
Co  0.0383  0.1381  0.0779  1 O 1.98, 5 F 2.04-2.19
Co  0.7737  0.0971  0.5554  1 O 1.93, 3 F 1.95-1.97
Co  0.3128  0.5606  0.7451  5 F 2.06-2.22, 1 O 2.08
O  0.0715  0.7704  0.7036  4 Co 1.93-2.08
O  0.9285  0.2296  0.2964  4 Co 1.93-2.08
F  0.8218  0.9564  0.1477  1 Li 1.88, 2 Co 2.04-2.09
F  0.4662  0.7085  0.4592  1 Li 1.86, 1 Co 1.97
F  0.7849  0.3470  0.0142  1 Li 1.96, 2 Co 2.16-2.17
F  0.3821  0.4939  0.2517  1 Li 1.92, 2 Co 2.02-2.06
F  0.1178  0.4378  0.6915  1 Li 1.87, 1 Co 2.05
F  0.2315  0.9144  0.2006  1 Li 1.90, 2 Co 1.95-2.12
F  0.2626  0.1507  0.4247  1 Li 1.91, 1 Co 1.97
F  0.2972  0.3035  0.9892  1 Li 2.02, 3 Co 2.14-2.22
F  0.7028  0.6965  0.0108  1 Li 2.02, 3 Co 2.14-2.22
F  0.7374  0.8493  0.5753  1 Li 1.91, 1 Co 1.97
F  0.7685  0.0856  0.7994  1 Li 1.90, 2 Co 1.95-2.12
F  0.8822  0.5622  0.3085  1 Li 1.87, 1 Co 2.05
F  0.6179  0.5061  0.7483  1 Li 1.92, 2 Co 2.02-2.06
F  0.2151  0.6530  0.9858  1 Li 1.96, 2 Co 2.16-2.17
F  0.5338  0.2915  0.5408  1 Li 1.86, 1 Co 1.97
F  0.1782  0.0436  0.8523  1 Li 1.88, 2 Co 2.04-2.09